Record 1
## CaHfOsPb2 (GGA-PBE)

Data for a relaxed CaHfOsPb2 crystal.

The structure belongs to space group P4/mmm (No. 123); the cell edges are 5.499, 5.499 and 5.830 Å and the angles 90.00°, 90.00° and 90.00°. The asymmetric unit holds Ca at (0.000, 0.000, 0.000), Hf at (0.000, 0.000, 0.500), Os at (0.500, 0.500, 0.000) and Pb at (0.000, 0.500, 0.500).

For the energy of formation from the pure elements, the calculation gives 1.685 eV per atom. The value obtained for the magnetic moment is 0.7067 μB/atom.

---

Record 2
## Ca2HfOsPt (GGA-PBE)

Data for a relaxed Ca2HfOsPt crystal.

The structure belongs to space group P4/mmm (No. 123); the cell edges are 5.193, 5.193 and 4.924 Å and the angles 90.00°, 90.00° and 90.00°. The asymmetric unit holds Ca at (0.000, 0.500, 0.000), Hf at (0.000, 0.000, 0.500), Os at (0.500, 0.500, 0.500) and Pt at (0.500, 0.500, 0.000).

For the energy of formation from the pure elements, the calculation gives 0.770 eV per atom. The value obtained for the magnetic moment is 0.0010 μB/atom.

---

Record 3
## Ca2HfScOs (GGA-PBE)

Data for a relaxed Ca2HfScOs crystal.

The structure belongs to space group P4/mmm (No. 123); the cell edges are 5.490, 5.490 and 5.004 Å and the angles 90.00°, 90.00° and 90.00°. The asymmetric unit holds Ca at (0.000, 0.500, 0.000), Hf at (0.000, 0.000, 0.500), Sc at (0.500, 0.500, 0.500) and Os at (0.000, 0.000, 0.000).

For the energy of formation from the pure elements, the calculation gives 0.479 eV per atom. The value obtained for the magnetic moment is 0.0540 μB/atom.

---

Record 4
## Ca2HfP2 (GGA-PBE)

Data for a relaxed Ca2HfP2 crystal.

The structure belongs to space group P4/mbm (No. 127); the cell edges are 7.275, 7.275 and 4.101 Å and the angles 90.00°, 90.00° and 90.00°. The asymmetric unit holds Ca at (0.148, 0.352, 0.000), Hf at (0.000, 0.000, 0.500) and P at (0.167, 0.667, 0.500).

For the energy of formation from the pure elements, the calculation gives -0.918 eV per atom. The value obtained for the magnetic moment is 0.0000 μB/atom.

---

Record 5
## CaHf3P (GGA-PBE)

Data for a relaxed CaHf3P crystal.

The structure belongs to space group Pm-3m (No. 221); the cell edges are 4.959, 4.959 and 4.959 Å and the angles 90.00°, 90.00° and 90.00°. The asymmetric unit holds Ca at (0.000, 0.000, 0.000), Hf at (0.000, 0.500, 0.500) and P at (0.500, 0.500, 0.500).

Its energy above the most stable polymorph in this dataset is 0.0 meV per atom. For the energy of formation from the pure elements, the calculation gives -0.162 eV per atom. The value obtained for the magnetic moment is 0.0000 μB/atom.

---

Record 6
## CaHfP2 (GGA-PBE)

Data for a relaxed CaHfP2 crystal.

The structure belongs to space group I-42d (No. 122); the cell edges are 6.913, 6.913 and 8.607 Å and the angles 90.00°, 90.00° and 90.00°. The asymmetric unit holds Ca at (0.000, 0.000, 0.000), Hf at (0.000, 0.000, 0.500) and P at (0.211, 0.750, 0.625).

Its energy above the most stable polymorph in this dataset is 396.7 meV per atom. For the energy of formation from the pure elements, the calculation gives -0.862 eV per atom. The value obtained for the magnetic moment is 0.0000 μB/atom.

---

Record 7
## CaHfP3 (GGA-PBE)

Data for a relaxed CaHfP3 crystal.

The structure belongs to space group Pm-3m (No. 221); the cell edges are 4.909, 4.909 and 4.909 Å and the angles 90.00°, 90.00° and 90.00°. The asymmetric unit holds Ca at (0.000, 0.000, 0.000), Hf at (0.500, 0.500, 0.500) and P at (0.000, 0.000, 0.500).

Its energy above the most stable polymorph in this dataset is 1406.1 meV per atom. For the energy of formation from the pure elements, the calculation gives 1.034 eV per atom. The value obtained for the magnetic moment is 0.0000 μB/atom.

---

Record 8
## CaHf3P (GGA-PBE)

Data for a relaxed CaHf3P crystal.

The structure belongs to space group Pm-3m (No. 221); the cell edges are 4.989, 4.989 and 4.989 Å and the angles 90.00°, 90.00° and 90.00°. The asymmetric unit holds Ca at (0.000, 0.000, 0.000), Hf at (0.000, 0.000, 0.500) and P at (0.500, 0.500, 0.500).

Its energy above the most stable polymorph in this dataset is 2152.9 meV per atom. For the energy of formation from the pure elements, the calculation gives 1.991 eV per atom. The value obtained for the magnetic moment is 0.0000 μB/atom.

---

Record 9
## Ca5HfP4 (GGA-PBE)

Data for a relaxed Ca5HfP4 crystal.

The structure belongs to space group C2/m (No. 12); the cell edges are 17.327, 4.038 and 7.949 Å and the angles 90.00°, 101.58° and 90.00°. The asymmetric unit holds Ca at (0.000, 0.000, 0.000), Ca at (0.160, 0.500, 0.817), Ca at (0.172, 0.500, 0.348), Hf at (0.000, 0.000, 0.500), P at (0.005, 0.500, 0.266) and P at (0.157, 0.000, 0.579).

For the energy of formation from the pure elements, the calculation gives -0.977 eV per atom. The value obtained for the magnetic moment is 0.0001 μB/atom.

---

Record 10
## CaHfP3 (GGA-PBE)

Data for a relaxed CaHfP3 crystal.

The structure belongs to space group Pm-3m (No. 221); the cell edges are 4.978, 4.978 and 4.978 Å and the angles 90.00°, 90.00° and 90.00°. The asymmetric unit holds Ca at (0.000, 0.000, 0.000), Hf at (0.500, 0.500, 0.500) and P at (0.000, 0.500, 0.500).

Its energy above the most stable polymorph in this dataset is 0.0 meV per atom. For the energy of formation from the pure elements, the calculation gives -0.373 eV per atom. The value obtained for the magnetic moment is 0.0000 μB/atom.

---

Record 11
## CaHfP2 (GGA-PBE)

Data for a relaxed CaHfP2 crystal.

The structure belongs to space group R-3m (No. 166, hexagonal axes); the cell edges are 3.8299, 3.8299 and 19.7819 Å and the angles 90.00°, 90.00° and 120.00°. The asymmetric unit holds Ca at (0.0000, 0.0000, 0.0000), Hf at (0.0000, 0.0000, 0.5000) and P at (0.0000, 0.0000, 0.2407).

Its energy above the most stable polymorph in this dataset is 0.0 meV per atom. For the energy of formation from the pure elements, the calculation gives -1.258 eV per atom. The value obtained for the magnetic moment is 0.0000 μB/atom.

---

Record 12
## CaHfP2 (GGA-PBE)

Data for a relaxed CaHfP2 crystal.

The structure belongs to space group R3m (No. 160, hexagonal axes); the cell edges are 3.8086, 3.8086 and 20.3395 Å and the angles 90.00°, 90.00° and 120.00°. The asymmetric unit holds Ca at (0.0000, 0.0000, 0.0000), Hf at (0.0000, 0.0000, 0.1713), P at (0.0000, 0.0000, 0.5761) and P at (0.0000, 0.0000, 0.7636).

Its energy above the most stable polymorph in this dataset is 81.5 meV per atom. For the energy of formation from the pure elements, the calculation gives -1.177 eV per atom. The value obtained for the magnetic moment is 0.0000 μB/atom.